Here is a relaxed Ni5O7 crystal from Alexandria via LeMat-Bulk. Energies are from PBE with a Hubbard U.

Its crystal system is orthorhombic. As for the total energy: -4.56 eV/atom.

The structure in CIF format:
```
data_Ni5O7
_cell_length_a 2.9519
_cell_length_b 9.9648
_cell_length_c 16.3387
_cell_angle_alpha 90.00
_cell_angle_beta 90.00
_cell_angle_gamma 90.00
_space_group_name_H-M_alt 'C m c m'
_space_group_IT_number 63
_space_group_name_Hall '-C 2c 2'
loop_
_atom_site_label
_atom_site_fract_x
_atom_site_fract_y
_atom_site_fract_z
Ni1 0.0000 0.0000 0.0000
Ni2 0.0000 0.2737 0.0852
Ni3 0.0000 0.4616 0.6556
O1 0.0000 0.0899 0.6061
O2 0.0000 0.1528 0.1829
O3 0.0000 0.3650 0.5445
O4 0.0000 0.4416 0.2500
```